Here is a geometry-optimized Np4I structure from the Alexandria database. Energies are from PBE.

Computed properties:
N(E_F) (states/eV/f.u.): 34.03
Calculated total energy (eV/atom): -9.069
Spin magnetization (μB per formula unit): 9.18

a = 5.6504 Å, b = 5.6504 Å, c = 5.6504 Å
α = 90.00°, β = 90.00°, γ = 90.00°
Last column: nearest neighbours and their distance in Å.
Space group Pm-3m (No. 221)
Asymmetric unit:
Np (0.0000, 0.0000, 0.0000) (multiplicity 1)  12 Np 4.00
Np (0.0000, 0.5000, 0.5000) (multiplicity 3)  2 I 2.83
I (0.5000, 0.5000, 0.5000) (multiplicity 1)  6 Np 2.83


Here is a geometry-optimized NpI3 structure from the Alexandria database. Energies are from PBE.

Computed properties:
N(E_F) (states/eV/f.u.): 5.90
Calculated total energy (eV/atom): -5.259
Spin magnetization (μB per formula unit): 4.00

a = 4.2562 Å, b = 15.4731 Å, c = 9.9747 Å
α = 90.00°, β = 90.00°, γ = 90.00°
Last column: nearest neighbours and their distance in Å.
Space group Cmcm (No. 63)
Asymmetric unit:
Np (0.0000, 0.2376, 0.2500) (multiplicity 4)  8 I 3.11-3.42
I (0.0000, 0.1565, 0.5687) (multiplicity 8)  3 Np 3.24-3.42, 1 I 3.62
I (0.0000, 0.4092, 0.7500) (multiplicity 4)  2 Np 3.11


Number 2 is which compound?
NpI3